Entry 1:
A geometry-optimized TiCrS structure, computed with PBE.

E: -7.540 eV/atom
E_form (uncorrected): -0.32 eV/atom
total moment: 0.00 Bohr magnetons per cell

Cell and atoms, written as POSCAR:
```
TiCrS
1.0
3.088 0.000 0.000
0.000 3.088 0.000
-1.544 -1.544 10.634
S Cr Ti
2 2 2
direct
0.176 0.176 0.352
0.824 0.824 0.648
0.955 0.955 0.911
0.045 0.045 0.089
0.374 0.374 0.748
0.626 0.626 0.252
```

---

Entry 2:
A geometry-optimized Ti2CrS2 structure, computed with PBE.

E: -7.526 eV/atom
E_form (uncorrected): -0.79 eV/atom
total moment: 3.27 Bohr magnetons per cell

Cell and atoms, written as POSCAR:
```
Ti2CrS2
1.0
-2.660 -0.611 -5.886
3.827 -5.100 -1.200
-2.264 -1.988 1.229
S Ti Cr
4 4 2
direct
0.655 0.155 0.000
0.845 0.655 0.000
0.345 0.845 0.000
0.155 0.345 0.000
0.153 0.653 0.500
0.653 0.847 0.500
0.847 0.347 0.500
0.347 0.153 0.500
0.000 0.000 0.000
0.500 0.500 0.000
```

---

Q: Among the records above, which one has the lowest total moment?
A: TiCrS

---

Copy entry 1 word for word.
A geometry-optimized TiCrS structure, computed with PBE.

E: -7.540 eV/atom
E_form (uncorrected): -0.32 eV/atom
total moment: 0.00 Bohr magnetons per cell

Cell and atoms, written as POSCAR:
```
TiCrS
1.0
3.088 0.000 0.000
0.000 3.088 0.000
-1.544 -1.544 10.634
S Cr Ti
2 2 2
direct
0.176 0.176 0.352
0.824 0.824 0.648
0.955 0.955 0.911
0.045 0.045 0.089
0.374 0.374 0.748
0.626 0.626 0.252
```

---

Q: Look up the E of the second one.
A: -7.526 eV/atom

---

Q: Look up the E of the second one.
A: -7.526 eV/atom